No. 1
Here is a relaxed structure of BaScHO2 from Alexandria via LeMat-Bulk. Energies are from PBE-GGA.

a b c (Å): 4.2021 4.2021 4.0691
angles (deg): 90.00 90.00 90.00
With the nearest neighbours (Å) after each atom.
Fractional coordinates of all 5 atoms:
Sc1 0.0000 0.0000 0.0000  2 H 2.03, 4 O 2.10
H1 0.0000 0.0000 0.5000  2 Sc 2.03
Ba1 0.5000 0.5000 0.5000  8 O 2.92, 4 H 2.97
O1 0.0000 0.5000 0.0000  2 Sc 2.10
O2 0.5000 0.0000 0.0000  2 Sc 2.10

**Volume**: 14.37 A^3/atom
**Mass density**: 4.975 g cm⁻³
**DFT total energy**: -6.736 eV/atom

***

No. 2
Here is a relaxed structure of Ba2HSeO from Alexandria via LeMat-Bulk. Energies are from PBE-GGA.

a b c (Å): 5.2905 3.9881 5.2905
angles (deg): 90.00 90.00 90.00
With the nearest neighbours (Å) after each atom.
Fractional coordinates of all 5 atoms:
O1 0.5000 0.5000 0.5000  8 Ba 3.31
H1 0.0000 0.0000 0.0000  2 Se 1.99
Ba1 0.0000 0.0000 0.5000  2 H 2.65
Ba2 0.5000 0.0000 0.0000  2 H 2.65
Se1 0.0000 0.5000 0.0000  2 H 1.99

**Volume**: 22.32 A^3/atom
**Mass density**: 5.513 g cm⁻³
**DFT total energy**: -4.222 eV/atom

***

No. 3
Here is a relaxed structure of BaH6Se2O2 from Alexandria via LeMat-Bulk. Energies are from PBE-GGA.

a b c (Å): 4.8946 8.8165 7.8488
angles (deg): 143.96 90.00 73.89
With the nearest neighbours (Å) after each atom.
Fractional coordinates of all 11 atoms:
Ba1 0.5000 0.0000 0.5000  6 Se 3.36-3.40, 4 H 3.68
H1 0.3681 0.6102 0.7677  1 O 1.05
H2 0.9782 0.3897 0.2323  1 O 1.05
H3 0.1599 0.6803 0.6446  1 O 1.05
H4 0.0218 0.6103 0.7677  1 O 1.05
H5 0.8401 0.3197 0.3554  1 O 1.05
H6 0.6319 0.3898 0.2323  1 O 1.05
Se1 0.7961 0.4079 0.6994  3 H 2.06-2.11
Se2 0.2039 0.5921 0.3006  3 H 2.06-2.11
O1 0.1455 0.7093 0.8032  3 H 1.05
O2 0.8545 0.2907 0.1968  3 H 1.05

**Volume**: 15.97 A^3/atom
**Mass density**: 3.150 g cm⁻³
**DFT total energy**: -4.419 eV/atom

***

volume of number 2 (Ba2HSeO)? 22.32 A^3/atom